The following is a DFT calculation (GGA-PBE) of crystalline SrY2H at its relaxed geometry.

Symmetry = I-42d (122)
M_tot = 0.0 Bohr magnetons per cell
Excess energy over the best structure of this formula in the dataset = 0 meV/atom
Uncorrected energy = -4.59 eV/atom

a b c (Å): 7.084 7.084 7.067
angles (deg): 59.92 59.92 90.00
Fractional positions:
Y: 0.875 0.608 0.750
Y: 0.375 0.642 0.750
Y: 0.358 0.125 0.250
Y: 0.392 0.625 0.250
Sr: 0.000 0.000 0.000
Sr: 0.750 0.250 0.500
H: 0.500 0.500 0.000
H: 0.250 0.750 0.500


The following is a DFT calculation (GGA-PBE) of crystalline RhC3F at its relaxed geometry.

Symmetry = Pm-3m (221)
ΔE_f (raw) = 3.0244 eV per atom
M_tot = 0.0 Bohr magnetons per cell
Excess energy over the best structure of this formula in the dataset = 959 meV/atom
Uncorrected energy = -4.35 eV/atom

a b c (Å): 3.677 3.677 3.677
angles (deg): 90.00 90.00 90.00
Fractional positions:
C: 0.000 0.500 0.000
C: 0.000 0.000 0.500
C: 0.500 0.000 0.000
Rh: 0.500 0.500 0.500
F: 0.000 0.000 0.000


The following is a DFT calculation (GGA-PBE) of crystalline Co2Re at its relaxed geometry.

Symmetry = P6/mmm (191)
M_tot = 1.8 Bohr magnetons per cell
Excess energy over the best structure of this formula in the dataset = 98 meV/atom
Uncorrected energy = -8.84 eV/atom
Formation enthalpy at 0 K = 0.05 eV per atom

a b c (Å): 2.553 4.034 4.034
angles (deg): 120.00 90.00 90.00
Fractional positions:
Co: 0.000 0.333 0.667
Co: 0.000 0.667 0.333
Re: 0.500 0.000 0.000


The following is a DFT calculation (GGA-PBE) of crystalline ReNi2Os at its relaxed geometry.

Symmetry = R-3m (166)
M_tot = 0.0 Bohr magnetons per cell
Excess energy over the best structure of this formula in the dataset = 155 meV/atom
Uncorrected energy = -8.65 eV/atom
Formation enthalpy at 0 K = 0.16 eV per atom

a b c (Å): 8.618 8.618 8.618
angles (deg): 17.78 17.78 17.78
Fractional positions:
Ni: 0.500 0.500 0.500
Ni: 0.000 0.000 0.000
Os: 0.750 0.750 0.750
Re: 0.250 0.250 0.250


The following is a DFT calculation (GGA-PBE) of crystalline TlCrP2 at its relaxed geometry.

Symmetry = Fm-3m (225)
M_tot = 0.0 Bohr magnetons per cell
Excess energy over the best structure of this formula in the dataset = 837 meV/atom
Uncorrected energy = -4.85 eV/atom
Formation enthalpy at 0 K = 0.86 eV per atom

a b c (Å): 4.551 4.551 4.551
angles (deg): 60.00 60.00 60.00
Fractional positions:
P: 0.250 0.250 0.250
P: 0.750 0.750 0.750
Tl: 0.500 0.500 0.500
Cr: 0.000 0.000 0.000


The following is a DFT calculation (GGA-PBE) of crystalline Cr3Cl5 at its relaxed geometry.

Symmetry = P2_1/m (11)
ΔE_f (raw) = -0.6661 eV per atom
M_tot = 26.0 Bohr magnetons per cell
Uncorrected energy = -5.43 eV/atom

a b c (Å): 7.560 7.693 8.255
angles (deg): 90.00 90.00 122.34
Fractional positions:
Cl: 0.649 0.021 0.750
Cl: 0.253 0.628 0.548
Cl: 0.651 0.745 0.250
Cl: 0.349 0.255 0.750
Cl: 0.747 0.372 0.452
Cl: 0.253 0.628 0.952
Cl: 0.747 0.372 0.048
Cl: 0.351 0.979 0.250
Cl: 0.113 0.261 0.250
Cl: 0.887 0.739 0.750
Cr: 0.493 0.363 0.250
Cr: 0.728 0.101 0.250
Cr: 0.754 0.376 0.750
Cr: 0.246 0.624 0.250
Cr: 0.507 0.637 0.750
Cr: 0.272 0.899 0.750


The following is a DFT calculation (GGA-PBE) of crystalline CuAg2Ir at its relaxed geometry.

Symmetry = P4mm (99)
M_tot = 0.4 Bohr magnetons per cell
Excess energy over the best structure of this formula in the dataset = 40 meV/atom
Uncorrected energy = -4.43 eV/atom
Formation enthalpy at 0 K = 0.24 eV per atom

a b c (Å): 2.792 2.792 7.969
angles (deg): 90.00 90.00 90.00
Fractional positions:
Ag: 0.500 0.500 0.270
Ag: 0.000 0.000 0.991
Ir: 0.500 0.500 0.726
Cu: 0.000 0.000 0.512


The following is a DFT calculation (GGA-PBE) of crystalline Ac2CuSb4Au3 at its relaxed geometry.

Symmetry = P-4m2 (115)
ΔE_f (raw) = -0.5358 eV per atom
M_tot = 0.0 Bohr magnetons per cell
Uncorrected energy = -4.40 eV/atom

a b c (Å): 4.932 4.932 10.694
angles (deg): 90.00 90.00 90.00
Fractional positions:
Sb: 0.000 0.500 0.381
Sb: 0.500 0.000 0.619
Sb: 0.000 0.000 0.000
Sb: 0.500 0.500 0.000
Cu: 0.500 0.500 0.500
Ac: 0.000 0.500 0.732
Ac: 0.500 0.000 0.268
Au: 0.000 0.500 0.132
Au: 0.000 0.000 0.500
Au: 0.500 0.000 0.868